(1)
This record from Alexandria describes a geometry-optimized InHg2Cl structure. The functional is GGA-PBEsol.

Values from the calculation:
As for the final energy: -1.84 eV/atom. The value obtained for the mass density is 8.8 g/cm3. As for the uncorrected formation energy: -29.42 kJ per mole of atoms. Its energy above the most stable polymorph in this dataset is 19 meV/atom. As for the density of states at the Fermi level: 0.6 states/eV per cell. As for the space-group type: P2/m, No. 10. As for the volume: 104 Å³ per cell.

```
data_InHg2Cl
_chemical_formula_sum 'In1 Hg2 Cl1'
_cell_length_a 4.036
_cell_length_b 4.505
_cell_length_c 5.713
_cell_angle_alpha 90.00
_cell_angle_beta 90.00
_cell_angle_gamma 93.43
_space_group_name_H-M_alt 'P 1'
_space_group_IT_number 1
loop_
_space_group_symop_operation_xyz
'x,y,z'
loop_
_atom_site_label
_atom_site_type_symbol
_atom_site_fract_x
_atom_site_fract_y
_atom_site_fract_z
Hg1 Hg 0.248 0.249 0.000
In1 In 0.000 0.500 0.500
Hg2 Hg 0.752 0.751 0.000
Cl1 Cl 0.500 0.000 0.500
```

(2)
This record from Alexandria describes a geometry-optimized Cd5Au structure. The functional is GGA-PBEsol.

Values from the calculation:
As for the final energy: -1.69 eV/atom. The value obtained for the mass density is 10.6 g/cm3. Its energy above the most stable polymorph in this dataset is 44 meV/atom. As for the density of states at the Fermi level: 1.9 states/eV per cell. As for the space-group type: P4/mmm, No. 123. Its formation energy is -36 meV per atom. As for the volume: 119 Å³ per cell.

```
data_Cd5Au
_chemical_formula_sum 'Cd5 Au1'
_cell_length_a 3.137
_cell_length_b 3.137
_cell_length_c 12.137
_cell_angle_alpha 90.00
_cell_angle_beta 90.00
_cell_angle_gamma 90.00
_space_group_name_H-M_alt 'P 1'
_space_group_IT_number 1
loop_
_space_group_symop_operation_xyz
'x,y,z'
loop_
_atom_site_label
_atom_site_type_symbol
_atom_site_fract_x
_atom_site_fract_y
_atom_site_fract_z
Cd1 Cd 0.000 0.000 0.653
Cd2 Cd 0.000 0.000 0.347
Cd3 Cd 0.500 0.500 0.826
Cd4 Cd 0.000 0.000 0.000
Cd5 Cd 0.500 0.500 0.174
Au1 Au 0.500 0.500 0.500
```